Entry 1:
VASP calculation (PBE-GGA) on a relaxed structure of Hf2TaBi2.

The structure in POSCAR format:
```
Hf2TaBi2
1.0
5.1137 5.0824 2.4060
-0.4846 6.6658 3.6196
-2.1460 -7.2804 -0.4005
Bi Hf Ta
2 2 1
direct
0.7500 0.2500 0.5000
0.2500 0.7500 0.5000
0.4059 0.4059 0.0000
0.5941 0.5941 0.0000
0.0000 0.0000 0.0000
```

Summary:
For the polymorph energy (0 for the lowest one), the calculation gives 0.00 eV per formula unit. Its total energy is -35.74 eV/f.u.



Entry 2:
VASP calculation (PBE-GGA) on a relaxed structure of DyTm2ZnIn2.

The structure in POSCAR format:
```
DyTm2ZnIn2
1.0
-5.1326 0.4176 0.6013
2.3631 -4.5148 0.9552
0.8528 1.7319 6.0764
Dy In Tm Zn
1 2 2 1
direct
0.0000 0.0000 0.0000
0.3333 0.6667 0.1723
0.6667 0.3333 0.8277
0.6667 0.3333 0.3426
0.3333 0.6667 0.6574
0.0000 0.0000 0.5000
```

Summary:
Its total energy is -22.73 eV/f.u.



Entry 3:
VASP calculation (PBE-GGA) on a relaxed structure of ScRe2Au.

The structure in POSCAR format:
```
ScRe2Au
1.0
1.7505 2.1523 3.5845
-1.2193 -1.2176 4.1924
2.9618 -2.1240 2.6948
Au Re Sc
1 2 1
direct
0.5000 0.5000 0.5000
0.0000 0.0000 0.0000
0.2500 0.2500 0.2500
0.7500 0.7500 0.7500
```

Summary:
Its total energy is -34.07 eV/f.u.